A plane-wave DFT calculation with PBEsol was carried out for an optimized crystal structure of NaPt2.

## Properties
calculated total energy: -16.00 eV/f.u.
energy above the most stable polymorph in this dataset: 0.21 eV/f.u.
V: 17.4 Å³ per atom

```
NaPt2
1.0
5.290 0.000 0.000
-2.645 4.581 0.000
0.000 0.000 8.593
Na Pt
4 8
Direct
0.667 0.333 0.933
0.667 0.333 0.567
0.333 0.667 0.433
0.333 0.667 0.067
0.000 0.000 0.000
0.000 0.000 0.500
0.830 0.170 0.250
0.830 0.661 0.250
0.661 0.830 0.750
0.339 0.170 0.250
0.170 0.339 0.750
0.170 0.830 0.750
```